VASP calculation (PBE) on a relaxed structure of LiSmHoSi.

Geometry as CIF:
```
data_LiSmHoSi
_chemical_formula_sum 'Li4 Sm4 Ho4 Si4'
_symmetry_space_group_name_H-M 'F -4 3 m'
_symmetry_Int_Tables_number 216
_symmetry_space_group_name_Hall 'F -4 2 3'
_cell_length_a 7.0870
_cell_length_b 7.0870
_cell_length_c 7.0870
_cell_angle_alpha 90.00
_cell_angle_beta 90.00
_cell_angle_gamma 90.00
loop_
_atom_site_label
_atom_site_type_symbol
_atom_site_fract_x
_atom_site_fract_y
_atom_site_fract_z
Li1 Li 0.0000 0.0000 0.0000
Sm1 Sm 0.2500 0.2500 0.7500
Ho1 Ho 0.2500 0.2500 0.2500
Si1 Si 0.0000 0.0000 0.5000
```

Uncorrected formation energy ... -0.35 eV/atom
Magnetic moment ... 0.00 μB/cell